TcAg2P | SCAN | PBEsol geometry

Results
SG: Cmmm
M_tot (μB/f.u.): 0.00
Energy of formation (kcal/mol of atoms): 13.1
E_tot (eV/atom): -26.48

The structure in extended XYZ format:
```
4
Lattice="1.849 -1.889 0.000 1.849 1.889 0.000 0.000 0.000 8.866" Properties=species:S:1:pos:R:3 pbc="T T T"
Tc 0.000 0.000 0.000
Ag 1.849 0.000 2.194
Ag 1.849 0.000 6.672
P 0.000 0.000 4.433
```